Crystalline ZrScSe at its relaxed geometry, computed with PBE.

Results
E_tot (eV for the cell shown): -84.692
Formation energy (no corrections) (eV per atom): -0.936
Crystal system: orthorhombic
Energy above the lowest structure with this stoichiometry (meV/atom): 76
DOS at the Fermi energy (states/eV per cell): 7.117

Cell: 5.402 3.517 13.902 Å, 90.00 90.00 90.00°
Space group Amm2 (No. 38)
Unique sites:
Zr1 0.000 0.000 0.000 x2
Zr2 0.000 0.000 0.312 x2
Sc1 0.500 0.000 0.402 x2
Sc2 0.500 0.000 0.701 x2
Se1 0.000 0.000 0.660 x2
Se2 0.500 0.000 0.049 x2

***

Crystalline YReAg2 at its relaxed geometry, computed with PBE.

Results
E_tot (eV for the cell shown): -22.811
Crystal system: orthorhombic
Energy above the lowest structure with this stoichiometry (meV/atom): 67
Formation energy from the elements (eV/atom): 0.4508
DOS at the Fermi energy (states/eV per cell): 4.698

Cell: 2.926 4.414 5.864 Å, 90.00 90.00 90.00°
Space group Pmmm (No. 47)
Unique sites:
Y1 0.000 0.000 0.000 x1
Re1 0.000 0.000 0.500 x1
Ag1 0.500 0.500 0.270 x2

***

Crystalline Ba2Li5Ag at its relaxed geometry, computed with PBE.

Results
E_tot (eV for the cell shown): -32.492
Crystal system: tetragonal
Formation energy from the elements (eV/atom): 0.0025
DOS at the Fermi energy (states/eV per cell): 11.061

Cell: 6.367 6.367 12.924 Å, 90.00 90.00 90.00°
Space group I4mm (No. 107)
Unique sites:
Ba1 0.000 0.500 0.000 x4
Li1 0.000 0.000 0.375 x2
Li2 0.236 0.236 0.743 x8
Ag1 0.000 0.000 0.601 x2

***

Crystalline Nd3TmAu4 at its relaxed geometry, computed with PBE.

Results
E_tot (eV for the cell shown): -38.239
Crystal system: tetragonal
Formation energy from the elements (eV/atom): -0.7944
DOS at the Fermi energy (states/eV per cell): 4.870

Cell: 3.657 3.657 14.840 Å, 90.00 90.00 90.00°
Space group P4/mmm (No. 123)
Unique sites:
Nd1 0.000 0.000 0.000 x1
Nd2 0.000 0.000 0.255 x2
Tm1 0.000 0.000 0.500 x1
Au1 0.500 0.500 0.126 x2
Au2 0.500 0.500 0.389 x2

***

Crystalline PmPuCoIr at its relaxed geometry, computed with PBE.

Results
E_tot (eV for the cell shown): -143.914
Crystal system: cubic
Formation energy from the elements (eV/atom): -0.2323
DOS at the Fermi energy (states/eV per cell): 32.311

Cell: 6.880 6.880 6.880 Å, 90.00 90.00 90.00°
Space group F-43m (No. 216)
Unique sites:
Pm1 0.000 0.000 0.000 x4
Pu1 0.000 0.000 0.500 x4
Co1 0.250 0.250 0.250 x4
Ir1 0.250 0.250 0.750 x4

***

Crystalline CaInRu at its relaxed geometry, computed with PBE.

Results
E_tot (eV for the cell shown): -55.291
Crystal system: monoclinic
Formation energy from the elements (eV/atom): 0.0644
DOS at the Fermi energy (states/eV per cell): 10.981

Cell: 6.684 7.713 6.240 Å, 90.00 114.05 90.00°
Space group P2_1/c (No. 14)
Unique sites:
Ca1 0.130 0.111 0.332 x4
In1 0.388 0.745 0.212 x4
Ru1 0.308 0.029 0.951 x4

***

Crystalline CaH3Pt at its relaxed geometry, computed with PBE.

Results
E_tot (eV for the cell shown): -40.888
Crystal system: monoclinic
DOS at the Fermi energy (states/eV per cell): 0.895

Cell: 5.140 5.131 5.319 Å, 90.00 117.89 90.00°
Space group P2_1/m (No. 11)
Unique sites:
Ca1 0.227 0.250 0.276 x2
H1 0.265 0.750 0.291 x2
H2 0.332 0.528 0.776 x4
Pt1 0.424 0.750 0.073 x2

***

Crystalline CePaAgHg at its relaxed geometry, computed with PBE.

Results
E_tot (eV for the cell shown): -72.195
Crystal system: cubic
Formation energy from the elements (eV/atom): 0.1335
DOS at the Fermi energy (states/eV per cell): 50.868

Cell: 7.449 7.449 7.449 Å, 90.00 90.00 90.00°
Space group F-43m (No. 216)
Unique sites:
Ce1 0.000 0.000 0.000 x4
Pa1 0.000 0.000 0.500 x4
Ag1 0.250 0.250 0.250 x4
Hg1 0.250 0.250 0.750 x4